Entry 1:
The following is a DFT calculation (PBE-GGA) of a relaxed Hf2VTcPb crystal.

## Properties
calculated total energy = -37.906 eV/cell
symmetry = No. 123
calculated volume = 124.9 Å³ per cell
formation energy = 5.19 eV/f.u.
crystal system = tetragonal

a = 4.9177 Å, b = 5.1645 Å, c = 4.9177 Å
α = 90.00°, β = 90.00°, γ = 90.00°
Closest atoms and distances in Å follow each position.
Positions (direct):
1 Pb 0.0000 0.5000 0.0000  2 Tc 2.58
2 Hf 0.0000 0.0000 0.5000  2 Tc 2.46
3 Hf 0.5000 0.0000 0.0000  2 Tc 2.46
4 Tc 0.0000 0.0000 0.0000  4 Hf 2.46, 2 Pb 2.58
5 V 0.5000 0.5000 0.5000  4 Pb 3.48, 8 Hf 3.57

=====

Entry 2:
The following is a DFT calculation (PBE-GGA) of a relaxed HfTePb3 crystal.

## Properties
calculated total energy = -18.709 eV/cell
offset from the most stable computed form = 0.655 eV per atom
symmetry = No. 221
calculated volume = 200.6 Å³ per cell
formation energy from raw total energies = 1102 meV per atom
crystal system = cubic

a = 5.8536 Å, b = 5.8536 Å, c = 5.8536 Å
α = 90.00°, β = 90.00°, γ = 90.00°
Closest atoms and distances in Å follow each position.
Positions (direct):
1 Pb 0.0000 0.5000 0.0000  2 Te 2.93
2 Pb 0.0000 0.0000 0.5000  2 Te 2.93
3 Pb 0.5000 0.0000 0.0000  2 Te 2.93
4 Te 0.0000 0.0000 0.0000  6 Pb 2.93
5 Hf 0.5000 0.5000 0.5000  12 Pb 4.14

=====

Entry 3:
The following is a DFT calculation (PBE-GGA) of a relaxed Hf3TePb crystal.

## Properties
calculated total energy = -30.260 eV/cell
offset from the most stable computed form = 1.444 eV per atom
symmetry = No. 221
calculated volume = 153.2 Å³ per cell
formation energy from raw total energies = 1290 meV per atom
crystal system = cubic

a = 5.3509 Å, b = 5.3509 Å, c = 5.3509 Å
α = 90.00°, β = 90.00°, γ = 90.00°
Closest atoms and distances in Å follow each position.
Positions (direct):
1 Pb 0.0000 0.0000 0.0000  6 Hf 2.68
2 Te 0.5000 0.5000 0.5000  12 Hf 3.78
3 Hf 0.0000 0.5000 0.0000  2 Pb 2.68
4 Hf 0.0000 0.0000 0.5000  2 Pb 2.68
5 Hf 0.5000 0.0000 0.0000  2 Pb 2.68